(1)
A relaxed SrMgAlC2 crystal. Source: Alexandria, functional PBE.

Properties
For the density of states at the Fermi level, the calculation gives 3.202 states/eV/cell. The formation energy comes out at 1695.4 meV per atom. As for the space group: No. 123. As for the total magnetic moment: 0.00 μB/f.u.

abc: 4.1379 5.5800 4.1379
angles: 90.00 90.00 90.00
Sites, in units of the cell vectors:
C (0.5000, 0.0000, 0.0000)
C (0.0000, 0.0000, 0.5000)
Sr (0.0000, 0.5000, 0.0000)
Mg (0.5000, 0.5000, 0.5000)
Al (0.0000, 0.0000, 0.0000)

***

(2)
A relaxed K2NbP2N6 crystal. Source: Alexandria, functional PBE.

Properties
For the density of states at the Fermi level, the calculation gives 4.714 states/eV/cell. The uncorrected formation energy is -340 meV per atom. As for the space group: No. 166. As for the total magnetic moment: 0.01 μB/f.u.

abc: 5.6449 5.6449 6.8926
angles: 65.83 65.83 60.00
Sites, in units of the cell vectors:
N (0.2412, 0.2412, 0.7949)
N (0.7588, 0.7588, 0.2051)
N (0.2412, 0.7226, 0.7949)
N (0.7226, 0.2412, 0.7949)
N (0.2774, 0.7588, 0.2051)
N (0.7588, 0.2774, 0.2051)
Nb (0.0000, 0.0000, 0.0000)
K (0.2065, 0.2065, 0.3806)
K (0.7935, 0.7935, 0.6194)
P (0.6006, 0.6006, 0.1982)
P (0.3994, 0.3994, 0.8018)